(1)
! NaBeReC2, optimized geometry, DFT PBE-GGA; values from VASP
! calculated volume	11.52	Å³/atom
! raw total energy	-4.915	eV per atom
! size of the total moment	0.00	μB per cell
! E_form	2.273	eV per atom
&SYSTEM
  ibrav = 0, nat = 5, ntyp = 4
/
ATOMIC_SPECIES
C 12.01 C.upf
Na 22.99 Na.upf
Be 9.01 Be.upf
Re 186.21 Re.upf
ATOMIC_POSITIONS crystal
C 0.500 0.000 0.000
C 0.000 0.000 0.500
Na 0.500 0.500 0.500
Be 0.000 0.000 0.000
Re 0.000 0.500 0.000
CELL_PARAMETERS angstrom
-0.993 -0.966 -3.487
2.318 -3.362 0.271
-2.929 -1.909 1.362



(2)
! BaAcBi2, optimized geometry, DFT PBE-GGA; values from VASP
! calculated volume	38.53	Å³/atom
! raw total energy	-4.201	eV per atom
! size of the total moment	0.00	μB per cell
! polymorph energy (0 for the lowest one)	33	kJ/mol of formula units
! E_form	-0.752	eV per atom
&SYSTEM
  ibrav = 0, nat = 4, ntyp = 3
/
ATOMIC_SPECIES
Ba 137.33 Ba.upf
Bi 208.98 Bi.upf
Ac 227.00 Ac.upf
ATOMIC_POSITIONS crystal
Ba 0.000 0.000 0.000
Bi 0.250 0.250 0.250
Bi 0.750 0.750 0.750
Ac 0.500 0.500 0.500
CELL_PARAMETERS angstrom
6.018 0.000 0.000
3.009 5.212 0.000
3.009 1.737 4.914



(3)
! Dy2Co5Si2Ge, optimized geometry, DFT PBE-GGA; values from VASP
! calculated volume	14.37	Å³/atom
! raw total energy	-6.439	eV per atom
! size of the total moment	0.00	μB per cell
! E_form (uncorrected)	-4.20	eV/f.u.
&SYSTEM
  ibrav = 0, nat = 20, ntyp = 4
/
ATOMIC_SPECIES
Si 28.09 Si.upf
Co 58.93 Co.upf
Dy 162.50 Dy.upf
Ge 72.64 Ge.upf
ATOMIC_POSITIONS crystal
Si 0.000 0.619 0.881
Si 0.000 0.381 0.119
Si 0.000 0.881 0.381
Si 0.000 0.119 0.619
Co 0.500 0.715 0.436
Co 0.500 0.064 0.785
Co 0.500 0.436 0.285
Co 0.500 0.500 0.000
Co 0.500 0.564 0.715
Co 0.500 0.215 0.064
Co 0.500 0.000 0.500
Co 0.500 0.785 0.936
Co 0.500 0.285 0.564
Co 0.500 0.936 0.215
Dy 0.000 0.322 0.822
Dy 0.000 0.822 0.678
Dy 0.000 0.678 0.178
Dy 0.000 0.178 0.322
Ge 0.000 0.000 0.000
Ge 0.000 0.500 0.500
CELL_PARAMETERS angstrom
3.288 0.000 0.000
0.000 9.349 0.000
0.000 0.000 9.349



(4)
! Er3In2Cu, optimized geometry, DFT PBE-GGA; values from VASP
! calculated volume	24.11	Å³/atom
! raw total energy	-4.275	eV per atom
! size of the total moment	0.00	μB per cell
! E_form	-0.398	eV per atom
&SYSTEM
  ibrav = 0, nat = 6, ntyp = 3
/
ATOMIC_SPECIES
In 114.82 In.upf
Er 167.26 Er.upf
Cu 63.55 Cu.upf
ATOMIC_POSITIONS crystal
In 0.500 0.500 0.179
In 0.500 0.500 0.821
Er 0.000 0.000 0.358
Er 0.000 0.000 0.642
Er 0.000 0.000 0.000
Cu 0.500 0.500 0.500
CELL_PARAMETERS angstrom
3.485 0.000 0.000
0.000 3.485 0.000
0.000 0.000 11.912



(5)
! Bi3RhCl, optimized geometry, DFT PBE-GGA; values from VASP
! calculated volume	30.71	Å³/atom
! raw total energy	-3.956	eV per atom
! size of the total moment	0.00	μB per cell
! polymorph energy (0 for the lowest one)	236	kJ/mol of formula units
! E_form (uncorrected)	1.06	eV/f.u.
&SYSTEM
  ibrav = 0, nat = 5, ntyp = 3
/
ATOMIC_SPECIES
Cl 35.45 Cl.upf
Rh 102.91 Rh.upf
Bi 208.98 Bi.upf
ATOMIC_POSITIONS crystal
Cl 0.500 0.500 0.500
Rh 0.000 0.000 0.000
Bi 0.500 0.000 0.000
Bi 0.000 0.500 0.000
Bi 0.000 0.000 0.500
CELL_PARAMETERS angstrom
-2.277 4.750 0.960
-4.238 -1.437 -2.940
-2.350 -2.010 4.371



(6)
! Y2AlSi, optimized geometry, DFT PBE-GGA; values from VASP
! calculated volume	24.95	Å³/atom
! raw total energy	-5.781	eV per atom
! size of the total moment	0.00	μB per cell
! E_form (uncorrected)	-1.03	eV/f.u.
&SYSTEM
  ibrav = 0, nat = 4, ntyp = 3
/
ATOMIC_SPECIES
Si 28.09 Si.upf
Y 88.91 Y.upf
Al 26.98 Al.upf
ATOMIC_POSITIONS crystal
Si 0.500 0.500 0.875
Y 0.000 0.000 0.875
Y 0.500 0.500 0.375
Al 0.000 0.000 0.375
CELL_PARAMETERS angstrom
3.446 0.000 0.000
0.000 4.902 0.000
0.000 0.000 5.908



(7)
! CdCoPb2, optimized geometry, DFT PBE-GGA; values from VASP
! calculated volume	23.12	Å³/atom
! raw total energy	-3.369	eV per atom
! size of the total moment	1.38	μB per cell
! E_form	0.490	eV per atom
&SYSTEM
  ibrav = 0, nat = 4, ntyp = 3
/
ATOMIC_SPECIES
Pb 207.20 Pb.upf
Cd 112.41 Cd.upf
Co 58.93 Co.upf
ATOMIC_POSITIONS crystal
Pb 0.500 0.500 0.000
Pb 0.000 0.000 0.000
Cd 0.750 0.250 0.500
Co 0.250 0.750 0.500
CELL_PARAMETERS angstrom
-2.033 -4.291 -2.426
1.304 -3.951 3.335
-2.506 4.556 1.183



(8)
! KIn3Hg2, optimized geometry, DFT PBE-GGA; values from VASP
! calculated volume	30.05	Å³/atom
! raw total energy	-1.749	eV per atom
! size of the total moment	0.00	μB per cell
! polymorph energy (0 for the lowest one)	0	kJ/mol of formula units
! E_form	-0.096	eV per atom
&SYSTEM
  ibrav = 0, nat = 6, ntyp = 3
/
ATOMIC_SPECIES
In 114.82 In.upf
Hg 200.59 Hg.upf
K 39.10 K.upf
ATOMIC_POSITIONS crystal
In 0.500 0.500 0.000
In 0.500 0.000 0.000
In 0.000 0.500 0.000
Hg 0.333 0.667 0.500
Hg 0.667 0.333 0.500
K 0.000 0.000 0.500
CELL_PARAMETERS angstrom
6.414 0.000 0.000
-3.207 5.554 0.000
0.000 0.000 5.062



Which formula does entry 5 have? Bi3RhCl